# 1
## Ca3IrS (PBEsol)

Data for crystalline Ca3IrS at its relaxed geometry.

Cell: 5.2842 5.2842 5.2842 Å, 90.00 90.00 90.00°
Space group Pm-3m (No. 221)
Asymmetric unit:
Ca 0.0000 0.0000 0.5000 x3
Ir 0.0000 0.0000 0.0000 x1
S 0.5000 0.5000 0.5000 x1

Output
Energy relative to the elements, uncorrected, meV/atom: -358
Calculated total energy, eV per atom: -4.480

***

# 2
## CaIrS2 (PBEsol)

Data for crystalline CaIrS2 at its relaxed geometry.

Cell: 3.6890 3.6890 22.6699 Å, 90.00 90.00 120.00°
Space group R-3m (No. 166, hexagonal axes)
Asymmetric unit:
Ca 0.0000 0.0000 0.0000 x3
Ir 0.0000 0.0000 0.5000 x3
S 0.0000 0.0000 0.1189 x6

Output
Energy relative to the elements, uncorrected, meV/atom: -544
Calculated total energy, eV per atom: -5.725

***

# 3
## Ca2SbIrS (PBEsol)

Data for crystalline Ca2SbIrS at its relaxed geometry.

Cell: 5.0222 5.0222 5.0484 Å, 90.00 90.00 90.00°
Space group P4/mmm (No. 123)
Asymmetric unit:
Ca 0.0000 0.5000 0.0000 x2
Sb 0.0000 0.0000 0.5000 x1
Ir 0.5000 0.5000 0.5000 x1
S 0.0000 0.0000 0.0000 x1

Output
Energy relative to the elements, uncorrected, meV/atom: -2
Calculated total energy, eV per atom: -4.609

***

# 4
## Ca2SbIr (PBEsol)

Data for crystalline Ca2SbIr at its relaxed geometry.

Cell: 3.2925 3.2925 8.4477 Å, 90.00 90.00 90.00°
Space group P4/mmm (No. 123)
Asymmetric unit:
Ca 0.0000 0.0000 0.2059 x2
Sb 0.5000 0.5000 0.5000 x1
Ir 0.5000 0.5000 0.0000 x1

Output
Energy relative to the elements, uncorrected, meV/atom: -471
Calculated total energy, eV per atom: -5.133

***

# 5
## Ca2SbIr (PBEsol)

Data for crystalline Ca2SbIr at its relaxed geometry.

Cell: 3.3927 4.0824 6.3486 Å, 90.00 90.00 90.00°
Space group Pmmm (No. 47)
Asymmetric unit:
Ca 0.0000 0.0000 0.2324 x2
Sb 0.5000 0.5000 0.5000 x1
Ir 0.5000 0.5000 0.0000 x1

Output
Energy relative to the elements, uncorrected, meV/atom: -424
Calculated total energy, eV per atom: -5.085